[1]
## HfRhSCl2 (PBE)

Data for a geometry-optimized HfRhSCl2 structure.

The space group is P4/mmm (No. 123) and the conventional cell measures 4.6265, 4.6265 and 4.7841 Å, with angles of 90.00, 90.00 and 90.00 degrees. Symmetry generates all atoms from Hf at (0.0000, 0.0000, 0.0000), Rh at (0.5000, 0.5000, 0.5000), S at (0.5000, 0.5000, 0.0000) and Cl at (0.0000, 0.5000, 0.5000).

The calculation puts the uncorrected formation energy at 17 kJ/mol of atoms. As for the polymorph energy (0 for the lowest one): 43.0 kJ per mole of atoms. The total magnetization comes out at 0.248 μB/atom.



[2]
## ReOs2Pt (PBE)

Data for a geometry-optimized ReOs2Pt structure.

The space group is P2/m (No. 10) and the conventional cell measures 4.7662, 2.7454 and 4.7885 Å, with angles of 90.00, 110.16 and 90.00 degrees. Symmetry generates all atoms from Re at (0.0000, 0.0000, 0.0000), Os at (0.5000, 0.0000, 0.5000), Os at (0.5000, 0.5000, 0.0000) and Pt at (0.0000, 0.5000, 0.5000).

As for the formation energy: 0.1064 eV per atom. As for the polymorph energy (0 for the lowest one): 4.6 kJ per mole of atoms. The total magnetization comes out at 0.000 μB/atom.



DOS at the Fermi energy / states/eV per cell: 4.6; 4.2